# 1
The following is a DFT calculation (GGA-PBEsol) of a geometry-optimized MnSi4Tc structure.

abc: 4.755 4.755 4.755
angles: 60.00 60.00 60.00
Element x y z (fractional)
Mn  0.000  0.000  0.000
Si  0.125  0.625  0.625
Si  0.625  0.125  0.625
Si  0.625  0.625  0.125
Si  0.625  0.625  0.625
Tc  0.250  0.250  0.250

As for the space group: F-43m. The value obtained for the raw formation energy is 319 meV/atom.

# 2
The following is a DFT calculation (GGA-PBEsol) of a geometry-optimized Na2CdHg structure.

abc: 7.292 7.292 7.292
angles: 90.00 90.00 90.00
Element x y z (fractional)
Na  0.250  0.250  0.250
Na  0.250  0.250  0.750
Na  0.250  0.750  0.250
Na  0.250  0.750  0.750
Na  0.750  0.250  0.250
Na  0.750  0.250  0.750
Na  0.750  0.750  0.250
Na  0.750  0.750  0.750
Cd  0.000  0.000  0.000
Cd  0.000  0.500  0.500
Cd  0.500  0.000  0.500
Cd  0.500  0.500  0.000
Hg  0.000  0.000  0.500
Hg  0.000  0.500  0.000
Hg  0.500  0.000  0.000
Hg  0.500  0.500  0.500

As for the space group: Fm-3m. The calculation puts the formation energy at -0.119 eV/atom.

# 3
The following is a DFT calculation (GGA-PBEsol) of a geometry-optimized CdSnMoRu2 structure.

abc: 4.603 4.603 5.098
angles: 90.00 90.00 90.00
Element x y z (fractional)
Cd  0.000  0.000  0.000
Sn  0.500  0.500  0.000
Mo  0.500  0.500  0.500
Ru  0.000  0.500  0.500
Ru  0.500  0.000  0.500

As for the space group: P4/mmm. The calculation puts the formation energy at 1.299 eV/atom.

The volume results, record by record, are as follows: 12.7, 24.2, 21.6 Å³/atom.
The VASP energy results, record by record, are as follows: -42.10, -20.16, -31.07 eV per cell.